VASP calculation (PBE) on a relaxed structure of Ac4Pr7Tm.

Calculated values
- calculated total energy (eV per atom) = -4.49
- density of states at the Fermi level (states/eV per cell) = 17.3
- formation enthalpy at 0 K (eV per atom) = 0.035
- total moment (μB/f.u.) = 0.000

abc: 6.613 7.584 9.499
angles: 90.10 103.43 90.16
Space group P-1 (No. 2)
Asymmetric unit:
1 Ac 0.218 0.240 0.172
2 Ac 0.275 0.500 0.829
3 Pr 0.004 0.756 0.498
4 Pr 0.225 0.754 0.178
5 Pr 0.285 0.001 0.826
6 Pr 0.500 0.500 0.500
7 Tm 0.500 0.000 0.500